No. 1
CsSc2Ir, relaxed, DFT PBE; DOS at the Fermi energy = 1.1 states/eV per cell; formation enthalpy at 0 K = 0.28 eV per atom; energy above the lowest structure with this stoichiometry = 435 meV per atom; space-group type = I4_1/amd (141)
1.0
8.120 0.000 0.000
0.000 8.120 0.000
0.000 0.000 11.296
Cs Sc Ir
4 8 4
Cartesian
0.000 2.030 4.236 Cs
0.000 6.090 7.060 Cs
4.060 2.030 1.412 Cs
4.060 6.090 9.884 Cs
0.000 0.000 0.000 Sc
0.000 4.060 0.000 Sc
2.030 2.030 8.472 Sc
2.030 6.090 2.824 Sc
4.060 0.000 5.648 Sc
4.060 4.060 5.648 Sc
6.090 2.030 8.472 Sc
6.090 6.090 2.824 Sc
0.000 2.030 9.884 Ir
0.000 6.090 1.412 Ir
4.060 2.030 7.060 Ir
4.060 6.090 4.236 Ir

***

No. 2
HfZr2In2, relaxed, DFT PBE; DOS at the Fermi energy = 14.6 states/eV per cell; formation enthalpy at 0 K = -0.14 eV per atom; energy above the lowest structure with this stoichiometry = 8 meV per atom; space-group type = P4/mbm (127)
1.0
7.778 0.000 0.000
0.000 7.778 0.000
0.000 0.000 3.792
Hf Zr In
2 4 4
Cartesian
0.000 0.000 0.000 Hf
3.889 3.889 0.000 Hf
1.350 2.539 1.896 Zr
2.539 6.428 1.896 Zr
5.239 1.350 1.896 Zr
6.428 5.239 1.896 Zr
1.005 4.894 0.000 In
2.884 1.005 0.000 In
4.894 6.773 0.000 In
6.773 2.884 0.000 In

***

No. 3
LaTb8Ho2, relaxed, DFT PBE; DOS at the Fermi energy = 17.8 states/eV per cell; formation enthalpy at 0 K = 0.14 eV per atom; energy above the lowest structure with this stoichiometry = 18 meV per atom; space-group type = C2/m (12)
1.0
9.643 -3.487 0.000
9.643 3.487 0.000
-0.296 0.000 5.535
La Tb Ho
1 8 2
Cartesian
0.000 0.000 0.000 La
6.967 1.621 1.486 Tb
3.584 0.000 1.292 Tb
12.023 1.621 4.049 Tb
8.520 0.000 4.214 Tb
10.470 0.000 1.321 Tb
6.967 -1.621 1.486 Tb
15.406 0.000 4.242 Tb
12.023 -1.621 4.049 Tb
5.270 0.000 4.150 Ho
13.720 0.000 1.385 Ho

***

No. 4
MgTaBiAs2, relaxed, DFT PBE; DOS at the Fermi energy = 5.3 states/eV per cell; formation enthalpy at 0 K = 1.10 eV per atom; space-group type = P4/mmm (123)
1.0
4.829 0.000 0.000
0.000 4.829 0.000
0.000 0.000 5.299
Mg Ta Bi As
1 1 1 2
Cartesian
0.000 0.000 0.000 Mg
0.000 0.000 2.650 Ta
2.415 2.415 2.650 Bi
0.000 2.415 0.000 As
2.415 0.000 0.000 As

***

- Which value of DOS at the Fermi energy does entry 2 give?
  14.6 states/eV per cell

***

- Number 1 is which compound?
  CsSc2Ir